Here is a relaxed structure of Pr4Sb3As from the Alexandria database. Energies are from GGA-PBE.

Cell: 9.008 12.719 4.492 Å, 90.00 90.00 90.00°
Fractional positions:
Pr 0.000 0.245 0.000
Pr 0.000 0.755 0.000
Pr 0.239 0.000 0.500
Pr 0.261 0.500 0.500
Pr 0.500 0.255 0.000
Pr 0.500 0.745 0.000
Pr 0.739 0.500 0.500
Pr 0.761 0.000 0.500
Sb 0.000 0.500 0.000
Sb 0.250 0.250 0.500
Sb 0.250 0.750 0.500
Sb 0.500 0.000 0.000
Sb 0.750 0.250 0.500
Sb 0.750 0.750 0.500
As 0.000 0.000 0.000
As 0.500 0.500 0.000

Fermi-level density of states ... 1.813 states/eV per cell
Energy ... -5.77 eV per atom
ΔE_f (raw) ... -1252 meV/atom
SG ... Cmmm (65)


Here is a relaxed structure of Pr2SbAs from the Alexandria database. Energies are from GGA-PBE.

Cell: 4.411 6.281 8.903 Å, 90.00 90.00 90.00°
Fractional positions:
Pr 0.250 0.250 0.113
Pr 0.250 0.250 0.639
Pr 0.750 0.750 0.361
Pr 0.750 0.750 0.887
Sb 0.250 0.750 0.625
Sb 0.750 0.250 0.375
As 0.250 0.750 0.123
As 0.750 0.250 0.877

Fermi-level density of states ... 1.447 states/eV per cell
Energy ... -5.91 eV per atom
ΔE_f (raw) ... -1328 meV/atom
SG ... Pmmn (59)


Here is a relaxed structure of Pr5Sb4As from the Alexandria database. Energies are from GGA-PBE.

Cell: 16.246 16.246 16.246 Å, 164.03 164.03 22.67°
Fractional positions:
Pr 0.000 0.000 0.000
Pr 0.200 0.200 0.000
Pr 0.404 0.404 0.000
Pr 0.596 0.596 0.000
Pr 0.800 0.800 0.000
Sb 0.099 0.099 0.000
Sb 0.302 0.302 0.000
Sb 0.698 0.698 0.000
Sb 0.901 0.901 0.000
As 0.500 0.500 0.000

Fermi-level density of states ... 1.331 states/eV per cell
Energy ... -5.74 eV per atom
ΔE_f (raw) ... -1237 meV/atom
SG ... I4/mmm (139)


Here is a relaxed structure of Pr6Sb5As from the Alexandria database. Energies are from GGA-PBE.

Cell: 7.826 7.826 7.824 Å, 99.61 99.61 119.97°
Fractional positions:
Pr 0.081 0.405 0.744
Pr 0.241 0.241 0.254
Pr 0.405 0.081 0.744
Pr 0.595 0.919 0.256
Pr 0.759 0.759 0.746
Pr 0.919 0.595 0.256
Sb 0.170 0.830 0.000
Sb 0.334 0.666 0.500
Sb 0.500 0.500 0.000
Sb 0.666 0.334 0.500
Sb 0.830 0.170 0.000
As 0.000 0.000 0.500

Fermi-level density of states ... 1.720 states/eV per cell
Energy ... -5.73 eV per atom
ΔE_f (raw) ... -1233 meV/atom
SG ... C2/m (12)


Here is a relaxed structure of Pr8SbAs6 from the Alexandria database. Energies are from GGA-PBE.

Cell: 10.979 10.979 4.416 Å, 90.00 90.00 120.00°
Fractional positions:
Pr 0.034 0.337 0.257
Pr 0.303 0.966 0.257
Pr 0.333 0.667 0.749
Pr 0.337 0.303 0.743
Pr 0.663 0.697 0.257
Pr 0.667 0.333 0.251
Pr 0.697 0.034 0.743
Pr 0.966 0.663 0.743
Sb 0.000 0.000 0.500
As 0.133 0.655 0.245
As 0.345 0.478 0.245
As 0.478 0.133 0.755
As 0.522 0.867 0.245
As 0.655 0.522 0.755
As 0.867 0.345 0.755

Fermi-level density of states ... 10.314 states/eV per cell
Energy ... -5.83 eV per atom
ΔE_f (raw) ... -1142 meV/atom
SG ... P-3 (147)


Here is a relaxed structure of Pr6Sb2As3Se from the Alexandria database. Energies are from GGA-PBE.

Cell: 9.819 9.819 8.806 Å, 103.24 103.24 25.76°
Fractional positions:
Pr 0.004 0.004 0.245
Pr 0.332 0.332 0.427
Pr 0.337 0.337 0.908
Pr 0.663 0.663 0.092
Pr 0.668 0.668 0.573
Pr 0.996 0.996 0.755
Sb 0.166 0.166 0.832
Sb 0.834 0.834 0.168
As 0.167 0.167 0.335
As 0.500 0.500 0.000
As 0.833 0.833 0.665
Se 0.500 0.500 0.500

Fermi-level density of states ... 2.242 states/eV per cell
Energy ... -6.00 eV per atom
ΔE_f (raw) ... -1472 meV/atom
SG ... C2/m (12)


Here is a relaxed structure of Pr6SbAs2Se3 from the Alexandria database. Energies are from GGA-PBE.

Cell: 9.700 9.700 8.680 Å, 102.86 102.86 25.82°
Fractional positions:
Pr 0.004 0.004 0.260
Pr 0.329 0.329 0.905
Pr 0.330 0.330 0.422
Pr 0.670 0.670 0.578
Pr 0.671 0.671 0.095
Pr 0.996 0.996 0.740
Sb 0.500 0.500 0.000
As 0.167 0.167 0.334
As 0.833 0.833 0.666
Se 0.165 0.165 0.833
Se 0.500 0.500 0.500
Se 0.835 0.835 0.167

Fermi-level density of states ... 4.717 states/eV per cell
Energy ... -6.03 eV per atom
ΔE_f (raw) ... -1655 meV/atom
SG ... C2/m (12)


Here is a relaxed structure of Pr8Sb4AsSe3 from the Alexandria database. Energies are from GGA-PBE.

Cell: 8.843 8.843 8.843 Å, 60.08 60.08 60.08°
Fractional positions:
Pr 0.247 0.247 0.247
Pr 0.250 0.744 0.744
Pr 0.256 0.256 0.750
Pr 0.256 0.750 0.256
Pr 0.744 0.250 0.744
Pr 0.744 0.744 0.250
Pr 0.750 0.256 0.256
Pr 0.753 0.753 0.753
Sb 0.000 0.000 0.000
Sb 0.000 0.500 0.500
Sb 0.500 0.000 0.500
Sb 0.500 0.500 0.000
As 0.500 0.500 0.500
Se 0.000 0.000 0.500
Se 0.000 0.500 0.000
Se 0.500 0.000 0.000

Fermi-level density of states ... 5.775 states/eV per cell
Energy ... -5.85 eV per atom
ΔE_f (raw) ... -1490 meV/atom
SG ... R-3m (166)